Here is an optimized crystal structure of Zn2RePt from the Alexandria database. Energies are from PBE.

Calculated values
- symmetry = P4/mmm (123)

```
Zn2RePt
1.0
4.518 0.000 0.000
0.000 4.518 0.000
0.000 0.000 2.832
Zn Re Pt
2 1 1
Cartesian
0.000 2.259 0.000
2.259 0.000 0.000
0.000 0.000 1.416
2.259 2.259 1.416
```



Here is an optimized crystal structure of Ir2Ru2W3 from the Alexandria database. Energies are from PBE.

Calculated values
- symmetry = Cmmm (65)

```
Ir2Ru2W3
1.0
4.044 0.000 0.000
0.000 19.008 0.000
0.000 0.000 2.753
Ir Ru W
4 4 6
Cartesian
0.000 1.370 0.000
0.000 17.638 0.000
2.022 8.134 0.000
2.022 10.874 0.000
0.000 4.037 0.000
0.000 14.971 0.000
2.022 5.467 0.000
2.022 13.541 0.000
0.000 6.685 1.376
0.000 9.504 1.376
0.000 12.322 1.376
2.022 0.000 1.376
2.022 2.819 1.376
2.022 16.189 1.376
```



Here is an optimized crystal structure of Pm12Y3Sc from the Alexandria database. Energies are from PBE.

Calculated values
- symmetry = P4/mmm (123)

```
Pm12Y3Sc
1.0
5.109 0.000 0.000
0.000 5.109 0.000
0.000 0.000 20.388
Pm Y Sc
12 3 1
Cartesian
0.000 0.000 0.000
0.000 0.000 5.037
0.000 0.000 10.194
0.000 0.000 15.351
0.000 2.555 2.463
0.000 2.555 7.616
0.000 2.555 12.772
0.000 2.555 17.924
2.555 0.000 2.463
2.555 0.000 7.616
2.555 0.000 12.772
2.555 0.000 17.924
2.555 2.555 5.041
2.555 2.555 10.194
2.555 2.555 15.347
2.555 2.555 0.000
```



Number 1: E_form 60.6 meV/atom, D(E_F) 0.54 states/eV per atom. Number 2: E_form -6.4 meV/atom, D(E_F) 0.95 states/eV per atom. Number 3: E_form 21.1 meV/atom, D(E_F) 1.50 states/eV per atom.